Computed, not measured: a relaxed K2Ta2Hg3S8 crystal at the PBE-GGA level of DFT.

## Properties
electronic total energy: -70.91 eV/cell

```
K2Ta2Hg3S8
1.0
5.090 -4.135 0.000
5.090 4.135 0.000
-2.380 0.000 10.187
K Ta Hg S
2 2 3 8
direct
0.225 0.225 0.239
0.775 0.775 0.761
0.252 0.239 0.753
0.761 0.748 0.247
0.340 0.660 0.500
0.379 0.621 0.000
0.671 0.329 0.500
0.074 0.376 0.569
0.101 0.418 0.941
0.108 0.769 0.271
0.231 0.892 0.729
0.582 0.899 0.059
0.589 0.281 0.770
0.624 0.926 0.431
0.719 0.411 0.230
```